(1)
Mo2RuRh4 (PBE, relaxed); space group = Cm, No. 8; total DFT energy (no corrections) = -8.5116 eV per atom
1.0
-5.1107 0.5964 1.5961
-0.9027 -5.2773 -0.5980
4.2309 1.8988 3.0312
Mo Ru Rh
2 1 4
direct
0.2952 0.7235 0.5655 Mo
0.7235 0.2952 0.5655 Mo
0.7582 0.7582 0.5675 Ru
0.9823 0.9823 0.2866 Rh
0.2380 0.2380 0.0413 Rh
0.6949 0.3078 0.9868 Rh
0.3078 0.6949 0.9868 Rh



(2)
Li2Dy2HfS6 (PBE, relaxed); space group = C2/m, No. 12; uncorrected formation energy = -170.3 kJ per mole of atoms
1.0
6.6664 -0.0022 0.1323
-3.2968 5.7941 0.1323
-1.1403 -1.9600 6.1032
Li Dy Hf S
2 2 1 6
direct
0.8447 0.1553 0.0000 Li
0.1553 0.8447 0.0000 Li
0.3340 0.6660 0.5000 Dy
0.6660 0.3340 0.5000 Dy
0.0000 0.0000 0.5000 Hf
0.7634 0.7634 0.7401 S
0.0692 0.3882 0.7395 S
0.2366 0.2366 0.2599 S
0.3882 0.0692 0.7395 S
0.9308 0.6118 0.2605 S
0.6118 0.9308 0.2605 S



(3)
Rb2MgCd7 (PBE, relaxed); space group = P-4m2, No. 115; total DFT energy (no corrections) = -1.0356 eV per atom
1.0
4.8585 0.0000 0.0000
0.0000 4.8585 0.0000
0.0000 0.0000 13.1202
Rb Mg Cd
2 1 7
direct
0.5000 0.0000 0.7481 Rb
0.0000 0.5000 0.2519 Rb
0.5000 0.5000 0.0000 Mg
0.0000 0.5000 0.8639 Cd
0.5000 0.0000 0.3628 Cd
0.5000 0.0000 0.1361 Cd
0.0000 0.5000 0.6372 Cd
0.0000 0.0000 0.5000 Cd
0.0000 0.0000 0.0000 Cd
0.5000 0.5000 0.5000 Cd



(4)
MgHg2BSb (PBE, relaxed); space group = P4/mmm, No. 123; uncorrected formation energy = 92.6 kJ per mole of atoms
1.0
-3.7841 2.9286 2.4815
-3.0892 -2.7772 -1.4333
0.6131 -2.9787 4.4503
Sb Mg B Hg
1 1 1 2
direct
0.5000 0.5000 0.5000 Sb
0.0000 0.0000 0.0000 Mg
0.0000 0.5000 0.0000 B
0.0000 0.0000 0.5000 Hg
0.5000 0.0000 0.0000 Hg



(5)
LiCaSn (PBE, relaxed); space group = Imm2, No. 44; total DFT energy (no corrections) = -3.1850 eV per atom
1.0
-4.1376 -2.2039 1.4355
2.6767 -0.6265 6.7532
-3.3159 7.5366 2.0134
Li Ca Sn
4 4 4
direct
0.0000 0.7277 0.7442 Li
0.0000 0.2723 0.7442 Li
0.5000 0.2277 0.2442 Li
0.5000 0.7723 0.2442 Li
0.0000 0.5000 0.0991 Ca
0.5000 0.0000 0.5991 Ca
0.0000 0.0000 0.0568 Ca
0.5000 0.5000 0.5568 Ca
0.0000 0.2189 0.4109 Sn
0.0000 0.7811 0.4109 Sn
0.5000 0.7189 0.9109 Sn
0.5000 0.2811 0.9109 Sn



(6)
Ac2Zn3Ag (PBE, relaxed); space group = Pmm2, No. 25; total DFT energy (no corrections) = -2.7850 eV per atom
1.0
3.9331 0.0000 0.0000
0.0000 4.7367 0.0000
0.0000 0.0000 8.2942
Ac Zn Ag
2 3 1
direct
0.0000 0.5000 0.9990 Ac
0.0000 0.0000 0.5006 Ac
0.5000 0.0000 0.8314 Zn
0.5000 0.0000 0.1597 Zn
0.5000 0.5000 0.6740 Zn
0.5000 0.5000 0.3353 Ag



(7)
KSr2Sc2 (PBE, relaxed); space group = P4/mbm, No. 127; total DFT energy (no corrections) = -2.9910 eV per atom
1.0
10.5786 0.0000 0.0000
0.0000 10.5786 0.0000
0.0000 0.0000 3.8486
Sc Sr K
4 4 2
direct
0.4005 0.9005 0.0000 Sc
0.9005 0.5995 0.0000 Sc
0.5995 0.0995 0.0000 Sc
0.0995 0.4005 0.0000 Sc
0.1830 0.6830 0.5000 Sr
0.6830 0.8170 0.5000 Sr
0.8170 0.3170 0.5000 Sr
0.3170 0.1830 0.5000 Sr
0.0000 0.0000 0.0000 K
0.5000 0.5000 0.0000 K



(8)
TcTeP2I (PBE, relaxed); space group = P4/mmm, No. 123; uncorrected formation energy = 170.5 kJ per mole of atoms
1.0
-2.6131 1.3837 -4.2389
3.5389 -2.1225 -2.8744
-2.5799 -4.4764 0.1292
I P Te Tc
1 2 1 1
direct
0.0000 0.0000 0.0000 I
0.0000 0.0000 0.5000 P
0.5000 0.0000 0.0000 P
0.5000 0.5000 0.5000 Te
0.0000 0.5000 0.0000 Tc



(9)
Pr2Nd7Mg (PBE, relaxed); space group = Cmmm, No. 65; total DFT energy (no corrections) = -3.8811 eV per atom
1.0
5.5996 0.0000 0.0000
0.0000 9.3232 -0.5509
0.0000 -4.6979 8.0719
Pr Nd Mg
2 7 1
direct
0.5000 0.7073 0.2927 Pr
0.5000 0.2927 0.7073 Pr
0.0000 0.7789 0.2211 Nd
0.0000 0.2211 0.7789 Nd
0.5000 0.0713 0.2867 Nd
0.5000 0.9287 0.7133 Nd
0.5000 0.2867 0.0713 Nd
0.5000 0.7133 0.9287 Nd
0.5000 0.5000 0.5000 Nd
0.0000 0.0000 0.0000 Mg



(10)
Tb7Tl5 (PBE, relaxed); space group = C2/m, No. 12; total DFT energy (no corrections) = -3.9025 eV per atom
1.0
-4.4947 2.1602 -0.9515
1.3004 -5.0176 -3.9900
-4.4102 -4.5289 10.5512
Tb Tl
7 5
direct
0.3495 0.6990 0.7120 Tb
0.6505 0.3010 0.2880 Tb
0.9326 0.8652 0.2344 Tb
0.0674 0.1348 0.7656 Tb
0.6519 0.3038 0.0063 Tb
0.5000 0.0000 0.5000 Tb
0.3481 0.6962 0.9937 Tb
0.1539 0.3078 0.4675 Tl
0.8461 0.6922 0.5325 Tl
0.2693 0.5386 0.2182 Tl
0.7307 0.4614 0.7818 Tl
0.0000 0.0000 0.0000 Tl



(11)
Hf2CoH6 (PBE, relaxed); space group = C2/m, No. 12; total DFT energy (no corrections) = -5.4806 eV per atom
1.0
-1.3182 -2.6332 -1.8429
1.1838 -3.4979 0.8772
-3.3142 -4.0142 4.8321
Hf Co H
2 1 6
direct
0.3224 0.0783 0.2770 Hf
0.6776 0.9217 0.7230 Hf
0.0000 0.0000 0.0000 Co
0.7771 0.3781 0.0677 H
0.2229 0.6219 0.9323 H
0.3308 0.7296 0.6088 H
0.0194 0.6974 0.2638 H
0.9806 0.3026 0.7362 H
0.6692 0.2704 0.3912 H



(12)
RbThAsS (PBE, relaxed); space group = R3m, No. 160; uncorrected formation energy = -129.0 kJ per mole of atoms
1.0
-3.6039 -1.4466 1.8860
2.2188 -2.5667 -2.6701
6.0077 -0.8937 5.8542
Rb Th As S
1 1 1 1
direct
0.9640 0.3802 0.3591 Rb
0.3046 0.5502 0.8702 Th
0.0975 0.9468 0.0595 As
0.5117 0.1537 0.6809 S



(13)
Tb4Pm3Ho4 (PBE, relaxed); space group = P-1, No. 2; energy relative to the lowest polymorph listed for this composition = 0 meV/atom
1.0
-2.8757 0.8082 -1.8199
-1.8491 -5.3115 0.5632
-10.7176 2.2782 14.5797
Tb Pm Ho
4 3 4
direct
0.5462 0.5466 0.9084 Tb
0.4538 0.4534 0.0916 Tb
0.3183 0.8182 0.3626 Tb
0.6817 0.1818 0.6374 Tb
0.1374 0.6374 0.7258 Pm
0.8627 0.3626 0.2741 Pm
0.0000 0.0000 0.0000 Pm
0.5909 0.0919 0.8180 Ho
0.2665 0.2661 0.4674 Ho
0.7335 0.7339 0.5327 Ho
0.4092 0.9081 0.1819 Ho



(14)
InGeTe3 (PBE, relaxed); space group = P2_1/m, No. 11; uncorrected formation energy = -11.2 kJ per mole of atoms
1.0
4.3308 0.0000 0.0000
0.0000 5.2517 -2.2682
0.0000 -4.8392 16.2571
In Ge Te
2 2 6
direct
0.2500 0.2683 0.6186 In
0.7500 0.7317 0.3814 In
0.2500 0.8717 0.0573 Ge
0.7500 0.1283 0.9427 Ge
0.2500 0.4260 0.0929 Te
0.7500 0.5740 0.9071 Te
0.2500 0.1201 0.4178 Te
0.7500 0.8799 0.5822 Te
0.2500 0.8920 0.7871 Te
0.7500 0.1080 0.2129 Te



(15)
MgTaTl2 (PBE, relaxed); space group = Cmm2, No. 35; total DFT energy (no corrections) = -4.1812 eV per atom
1.0
-0.0537 2.9688 -0.8165
-0.5254 -0.8986 -2.8982
-9.7958 0.2867 1.6869
Mg Ta Tl
1 1 2
direct
0.0000 0.0000 0.5303 Mg
0.5000 0.5000 0.7373 Ta
0.0000 0.0000 0.9729 Tl
0.5000 0.5000 0.2595 Tl



(16)
YCo2Mo (PBE, relaxed); space group = Fm-3m, No. 225; energy relative to the lowest polymorph listed for this composition = 220 meV/atom
1.0
-2.7418 -3.5524 0.0535
-3.8268 0.1542 2.3391
-3.9369 0.1716 -2.1473
Y Mo Co
1 1 2
direct
0.0000 0.0000 0.0000 Y
0.5000 0.5000 0.5000 Mo
0.2500 0.2500 0.2500 Co
0.7500 0.7500 0.7500 Co



(17)
HoZnPd (PBE, relaxed); space group = I4mm, No. 107; total DFT energy (no corrections) = -4.3303 eV per atom
1.0
3.5541 0.0000 0.0000
0.0000 3.5541 0.0000
-1.7771 -1.7771 4.5691
Zn Ho Pd
1 1 1
direct
0.2960 0.2960 0.5921 Zn
0.6132 0.6132 0.2264 Ho
0.9408 0.9408 0.8815 Pd



(18)
LiPbS2 (PBE, relaxed); space group = I-42d, No. 122; uncorrected formation energy = -57.2 kJ per mole of atoms
1.0
-5.6292 -0.9624 1.1891
1.4893 -4.4836 3.4217
-1.6968 1.1276 7.1886
Pb S Li
2 4 2
direct
0.0000 0.0000 0.0000 Pb
0.7500 0.2500 0.5000 Pb
0.5925 0.1250 0.2500 S
0.1575 0.6250 0.2500 S
0.3750 0.4075 0.7500 S
0.8750 0.8425 0.7500 S
0.5000 0.5000 0.0000 Li
0.2500 0.7500 0.5000 Li



(19)
K2PW (PBE, relaxed); space group = Imm2, No. 44; energy relative to the lowest polymorph listed for this composition = 267 meV/atom
1.0
6.6034 0.0005 0.0108
2.7475 6.0047 -0.0108
-3.9295 -4.1641 3.2900
K P W
2 1 1
direct
0.0181 0.0181 0.0000 K
0.7080 0.2080 0.5000 K
0.4411 0.4411 0.0000 P
0.3327 0.8327 0.5000 W



(20)
MgIr2S2 (PBE, relaxed); space group = I4/mmm, No. 139; energy relative to the lowest polymorph listed for this composition = 0 meV/atom; uncorrected formation energy = -5.0 kJ per mole of atoms
1.0
4.5172 0.0000 0.0000
0.0000 4.5172 0.0000
2.2586 2.2586 4.1544
S Ir Mg
2 2 1
direct
0.7500 0.2500 0.5000 S
0.2500 0.7500 0.5000 S
0.3395 0.3395 0.3210 Ir
0.6605 0.6605 0.6790 Ir
0.0000 0.0000 0.0000 Mg